A plane-wave DFT calculation with GGA-PBE was carried out for crystalline TbPr2ErSb4 at its relaxed geometry.

Unit cell a=7.732 b=4.473 c=7.743 alpha=90.00 beta=109.51 gamma=90.00
Fractional positions:
Tb  0.000  0.000  0.000
Pr  0.500  0.000  0.500
Pr  0.500  0.500  0.000
Er  0.000  0.500  0.500
Sb  0.238  0.000  0.744
Sb  0.239  0.500  0.248
Sb  0.761  0.500  0.752
Sb  0.762  0.000  0.256

Calculated values
**Size of the total moment**: 0.000 μB/f.u.
**Uncorrected formation energy**: -1.15 eV/atom
**DOS at the Fermi energy**: 0.131 states/eV per atom
**E**: -44.5 eV/cell